The following is a DFT calculation (PBE) of Tl3InAu4 after structural relaxation.

Calculated total energy = -2.874 eV per atom
Crystal system = triclinic
Calculated volume = 25.04 Å³/atom

abc: 5.5368 5.9702 6.6479
angles: 92.87 103.49 108.90
Space group P1 (No. 1)
Symmetry-distinct sites (fractional):
Tl (0.0000, 0.0000, 0.0000)
Tl (0.2303, 0.8118, 0.5794)
Tl (0.6181, 0.4075, 0.7894)
In (0.6145, 0.9092, 0.2910)
Au (0.0213, 0.2176, 0.6152)
Au (0.2167, 0.5963, 0.9644)
Au (0.3907, 0.3998, 0.3392)
Au (0.8507, 0.4128, 0.2383)